# 1
Below is V5Bi3O12 after structural relaxation, with properties calculated at the GGA+U level.

Cell lengths 11.135, 11.135, 11.135 Å; angles 109.47, 109.47, 109.47 degrees
Positions (direct):
V 0.000 0.000 0.000
V 0.000 0.000 0.500
V 0.000 0.500 0.000
V 0.000 0.500 0.500
V 0.125 0.750 0.875
V 0.125 0.875 0.250
V 0.250 0.125 0.875
V 0.250 0.625 0.375
V 0.375 0.250 0.625
V 0.375 0.625 0.750
V 0.500 0.000 0.000
V 0.500 0.000 0.500
V 0.500 0.500 0.000
V 0.500 0.500 0.500
V 0.625 0.375 0.250
V 0.625 0.750 0.375
V 0.750 0.375 0.625
V 0.750 0.875 0.125
V 0.875 0.125 0.750
V 0.875 0.250 0.125
Bi 0.125 0.250 0.375
Bi 0.125 0.375 0.750
Bi 0.250 0.375 0.125
Bi 0.250 0.875 0.625
Bi 0.375 0.125 0.250
Bi 0.375 0.750 0.125
Bi 0.625 0.250 0.875
Bi 0.625 0.875 0.750
Bi 0.750 0.125 0.375
Bi 0.750 0.625 0.875
Bi 0.875 0.625 0.250
Bi 0.875 0.750 0.625
O 0.025 0.205 0.122
O 0.025 0.321 0.903
O 0.083 0.705 0.679
O 0.083 0.878 0.403
O 0.097 0.622 0.417
O 0.097 0.975 0.679
O 0.122 0.025 0.205
O 0.122 0.597 0.917
O 0.179 0.205 0.583
O 0.179 0.475 0.597
O 0.205 0.122 0.025
O 0.205 0.583 0.179
O 0.295 0.321 0.917
O 0.295 0.475 0.378
O 0.321 0.903 0.025
O 0.321 0.917 0.295
O 0.378 0.295 0.475
O 0.378 0.583 0.903
O 0.403 0.083 0.878
O 0.403 0.821 0.525
O 0.417 0.097 0.622
O 0.417 0.821 0.795
O 0.475 0.378 0.295
O 0.475 0.597 0.179
O 0.525 0.403 0.821
O 0.525 0.622 0.705
O 0.583 0.179 0.205
O 0.583 0.903 0.378
O 0.597 0.179 0.475
O 0.597 0.917 0.122
O 0.622 0.417 0.097
O 0.622 0.705 0.525
O 0.679 0.083 0.705
O 0.679 0.097 0.975
O 0.705 0.525 0.622
O 0.705 0.679 0.083
O 0.795 0.417 0.821
O 0.795 0.878 0.975
O 0.821 0.525 0.403
O 0.821 0.795 0.417
O 0.878 0.403 0.083
O 0.878 0.975 0.795
O 0.903 0.025 0.321
O 0.903 0.378 0.583
O 0.917 0.122 0.597
O 0.917 0.295 0.321
O 0.975 0.679 0.097
O 0.975 0.795 0.878

Summary:
VASP energy = -7.071 eV per atom
Total magnetization = 10.00 μB/f.u.



# 2
Below is Pm2MnHgO5 after structural relaxation, with properties calculated at the GGA+U level.

Cell lengths 6.823, 6.823, 5.704 Å; angles 90.00, 90.00, 90.00 degrees
Positions (direct):
Pm 0.178 0.322 0.000
Pm 0.322 0.822 0.000
Pm 0.678 0.178 0.000
Pm 0.822 0.678 0.000
Mn 0.000 0.500 0.500
Mn 0.500 0.000 0.500
Hg 0.000 0.000 0.500
Hg 0.500 0.500 0.500
O 0.000 0.000 0.000
O 0.131 0.631 0.250
O 0.131 0.631 0.750
O 0.369 0.131 0.250
O 0.369 0.131 0.750
O 0.500 0.500 0.000
O 0.631 0.869 0.250
O 0.631 0.869 0.750
O 0.869 0.369 0.250
O 0.869 0.369 0.750

Summary:
VASP energy = -6.862 eV per atom
Total magnetization = 3.88 μB/f.u.